The following is a PBE calculation of an optimized crystal structure of CaPu2Ni, from the Alexandria database.

a b c (Å): 4.637 4.637 6.521
angles (deg): 69.17 69.17 60.00
Site moments in Bohr magnetons follow the coordinates.
Fractional positions:
Ni: 0.000 0.000 0.000  -0.04
Ca: 0.500 0.500 0.500  0.10
Pu: 0.291 0.291 0.126  5.46
Pu: 0.709 0.709 0.874  5.46

- energy of formation from the pure elements (eV/atom) = 0.374